Entry 1:
{"formula": "Tb2PmHo", "functional": "GGA-PBE", "state": "optimized geometry", "cell": [[1.7864, 1.0314, 11.6566], [-1.7864, 1.0314, 11.6566], [0.0000, -2.0628, 11.6566]], "species": ["Tb", "Tb", "Pm", "Ho"], "fractional_positions": [[0.2488, 0.2488, 0.2488], [0.7512, 0.7512, 0.7512], [0.0000, 0.0000, 0.0000], [0.5000, 0.5000, 0.5000]], "de_polymorph_mev_per_atom": 2}



Entry 2:
{"formula": "Tb5Pm2Ho12", "functional": "GGA-PBE", "state": "optimized geometry", "cell": [[6.1409, 0.0000, 0.0000], [-0.0173, 9.3904, 0.0000], [-1.0290, -2.0363, 10.3910]], "species": ["Tb", "Tb", "Tb", "Tb", "Tb", "Pm", "Pm", "Ho", "Ho", "Ho", "Ho", "Ho", "Ho", "Ho", "Ho", "Ho", "Ho", "Ho", "Ho"], "fractional_positions": [[0.0000, 0.0000, 0.0000], [0.1583, 0.6318, 0.9480], [0.2623, 0.0526, 0.5794], [0.7377, 0.9474, 0.4206], [0.8417, 0.3682, 0.0520], [0.4207, 0.6845, 0.5264], [0.5793, 0.3155, 0.4736], [0.0528, 0.2102, 0.3147], [0.1046, 0.4208, 0.6327], [0.2107, 0.8423, 0.2620], [0.3157, 0.2632, 0.8954], [0.3683, 0.4740, 0.2090], [0.4738, 0.8950, 0.8433], [0.5262, 0.1050, 0.1567], [0.6317, 0.5260, 0.7910], [0.6843, 0.7368, 0.1046], [0.7893, 0.1577, 0.7380], [0.8954, 0.5792, 0.3673], [0.9472, 0.7898, 0.6853]], "de_polymorph_mev_per_atom": 0}



Entry 3:
{"formula": "Tb7Pm3Ho", "functional": "GGA-PBE", "state": "optimized geometry", "cell": [[-2.9327, 5.5909, 5.6213], [2.9327, -5.5909, 5.6213], [2.9327, 5.5909, -5.6213]], "species": ["Tb", "Tb", "Tb", "Tb", "Tb", "Tb", "Tb", "Pm", "Pm", "Pm", "Ho"], "fractional_positions": [[0.0000, 0.0000, 0.0000], [0.0974, 0.7999, 0.2975], [0.2934, 0.5000, 0.7934], [0.4976, 0.2001, 0.2975], [0.5024, 0.7999, 0.7025], [0.7066, 0.5000, 0.2066], [0.9026, 0.2001, 0.7025], [0.2885, 0.2885, 0.0000], [0.5000, 0.0000, 0.5000], [0.7115, 0.7115, 0.0000], [0.0000, 0.5000, 0.5000]], "de_polymorph_mev_per_atom": 124}



Entry 4:
{"formula": "Tb6PmHo3", "functional": "GGA-PBE", "state": "optimized geometry", "cell": [[4.8177, -10.5018, 0.0000], [4.8177, 10.5018, 0.0000], [0.0000, 0.0000, 6.3847]], "species": ["Tb", "Tb", "Tb", "Tb", "Tb", "Tb", "Tb", "Tb", "Tb", "Tb", "Tb", "Tb", "Pm", "Pm", "Ho", "Ho", "Ho", "Ho", "Ho", "Ho"], "fractional_positions": [[0.0151, 0.9849, 0.5000], [0.1059, 0.5431, 0.0184], [0.2608, 0.3793, 0.2617], [0.3015, 0.6985, 0.4805], [0.3793, 0.2608, 0.7617], [0.4569, 0.8941, 0.0184], [0.5431, 0.1059, 0.5184], [0.6207, 0.7392, 0.2617], [0.6985, 0.3015, 0.9805], [0.7392, 0.6207, 0.7617], [0.8941, 0.4569, 0.5184], [0.9849, 0.0151, 0.0000], [0.1610, 0.8390, 0.6984], [0.8390, 0.1610, 0.1984], [0.0426, 0.2962, 0.6743], [0.2962, 0.0426, 0.1743], [0.4188, 0.5812, 0.7854], [0.5812, 0.4188, 0.2854], [0.7038, 0.9574, 0.6743], [0.9574, 0.7038, 0.1743]], "de_polymorph_mev_per_atom": 0}